Record 1
11
Lattice="-3.4007 3.5768 -0.6978 -4.5846 -3.3597 5.1214 6.7444 3.6159 3.4682" Properties=species:S:1:pos:R:3 comment="Ce8Ge2Au (GGA-PBE, optimized geometry)" spacegroup="C2/m, No. 12" ef_mev_per_atom=-364 pbc="T T T"
Ce 1.8068 2.8107 5.6015
Ce -4.0874 0.6581 5.4905
Ce -2.0593 2.5317 5.2103
Ce 2.1129 6.2451 3.9112
Ce 0.8184 1.3013 2.6814
Ce 2.8465 3.1748 2.4012
Ce -3.0477 1.0222 2.2902
Ce -3.3538 -2.4121 3.9805
Ge -0.0387 4.1247 3.5284
Ge -1.2022 -0.2917 4.3633
Au -1.7003 1.7884 -0.3489

Record 2
16
Lattice="4.4575 0.0000 0.0000 -2.2288 5.4737 0.0000 0.0000 0.0000 14.7858" Properties=species:S:1:pos:R:3 comment="Ce3Ge3Au2 (GGA-PBE, optimized geometry)" spacegroup="Cmcm, No. 63" ef_mev_per_atom=-718 pbc="T T T"
Ce 2.2288 4.5564 5.7447
Ce 0.0000 0.9173 13.1376
Ce 2.2288 4.5564 1.6482
Ce 0.0000 0.9173 9.0411
Ce 2.2288 1.5239 3.6964
Ce 0.0000 3.9497 11.0893
Ge 2.2288 1.1725 6.7842
Ge 0.0000 4.3012 14.1771
Ge 2.2288 1.1725 0.6087
Ge 0.0000 4.3012 8.0016
Ge 0.0000 3.9113 3.6964
Ge 2.2288 1.5624 11.0893
Au 2.2288 3.1513 13.3131
Au 0.0000 2.3224 5.9202
Au 2.2288 3.1513 8.8656
Au 0.0000 2.3224 1.4727

Record 3
20
Lattice="7.3844 0.0000 -0.1485 0.0000 8.2240 0.0000 -0.0970 0.0000 9.0130" Properties=species:S:1:pos:R:3 comment="Ce6Ge3Au (GGA-PBE, optimized geometry)" spacegroup="P2_1/c, No. 14" ef_mev_per_atom=-424 pbc="T T T"
Ce 4.7372 1.4806 8.3176
Ce 4.8705 1.4347 5.0777
Ce 5.3657 3.2059 2.1168
Ce 1.9217 5.0181 6.7477
Ce 2.4168 6.7893 3.7868
Ce 2.5501 6.7434 0.5469
Ce 1.0936 2.6314 3.8854
Ce 1.2269 2.6773 0.6454
Ce 1.6250 0.9061 6.6975
Ce 5.6624 7.3179 2.1670
Ce 6.0605 5.5467 8.2190
Ce 6.1938 5.5926 4.9791
Ge 3.9545 7.2253 6.6275
Ge 3.6922 4.1120 -0.0743
Ge 3.3328 0.9987 2.2370
Ge 0.3108 5.1107 2.1952
Ge -0.0485 0.0000 4.5065
Ge 6.9765 3.1133 6.6693
Au 3.6437 4.1120 4.4322
Au 0.0000 0.0000 0.0000

Record 4
12
Lattice="-5.8677 1.8896 -4.0569 -6.0996 -2.9438 2.9734 -3.8360 3.7733 5.0670" Properties=species:S:1:pos:R:3 comment="Ce6Ge5Au (GGA-PBE, optimized geometry)" spacegroup="C2/m, No. 12" ef_mev_per_atom=-595 e_above_lowest_polymorph_mev_per_atom=0 pbc="T T T"
Ce -6.1951 2.4395 -1.0401
Ce -6.3075 0.0782 2.3947
Ce -3.0459 -0.2771 -0.2629
Ce -8.9213 -0.7770 -0.8206
Ce -9.4957 2.6410 1.5888
Ce -9.6081 0.2796 5.0237
Ge -6.5134 3.0073 1.8708
Ge -3.3132 0.2854 2.6862
Ge -5.9836 -0.5271 -0.5417
Ge -6.6223 0.5441 5.3542
Ge -9.2898 -0.2882 2.1128
Au 0.0000 0.0000 0.0000

Record 5
8
Lattice="7.3199 0.3738 -0.3186 0.3598 7.2225 -0.3222 -3.9686 -3.9251 4.0275" Properties=species:S:1:pos:R:3 comment="Ce5Ge2Au (GGA-PBE, optimized geometry)" spacegroup="P1, No. 1" ef_mev_per_atom=-480 pbc="T T T"
Ce 5.5055 2.5487 -0.2435
Ce -2.1395 -2.1141 3.5368
Ce 1.6820 1.5299 3.2601
Ce 2.4501 5.4617 -0.2412
Ce 3.3382 3.3102 1.2196
Ge 0.4017 3.7819 1.5727
Ge 3.8873 0.3629 1.4869
Au -0.2233 -0.1399 1.3020

Record 6
12
Lattice="4.1340 0.0000 0.0000 0.0000 7.8577 0.0000 0.0000 0.0000 7.7266" Properties=species:S:1:pos:R:3 comment="CeGeAu4 (GGA-PBE, optimized geometry)" spacegroup="Pmma, No. 51" ef_mev_per_atom=-378 e_above_lowest_polymorph_mev_per_atom=0 pbc="T T T"
Ce 0.0000 4.7366 5.7949
Ce 0.0000 3.1211 1.9316
Ge 0.0000 1.6726 5.7949
Ge 0.0000 6.1850 1.9316
Au 0.0000 0.0000 3.8633
Au 0.0000 0.0000 0.0000
Au 2.0670 7.0164 5.7949
Au 2.0670 0.8413 1.9316
Au 2.0670 5.2492 0.4422
Au 2.0670 2.6085 7.2844
Au 2.0670 5.2492 3.4211
Au 2.0670 2.6085 4.3054

Record 7
20
Lattice="-3.2414 2.3753 4.8045 -2.0369 -6.3997 5.7239 5.5070 3.6855 5.8273" Properties=species:S:1:pos:R:3 comment="Ce2Ge3Au5 (GGA-PBE, optimized geometry)" spacegroup="C2/c, No. 15" ef_mev_per_atom=-489 e_above_lowest_polymorph_mev_per_atom=0 pbc="T T T"
Ce 0.7253 -2.6934 9.8141
Ce -0.8424 -1.4622 4.1124
Ce -0.4966 2.3545 6.5416
Ce 1.0712 1.1233 12.2433
Ge 1.7910 0.6479 5.0055
Ge 2.0142 0.4402 8.9748
Ge -1.5623 -0.9867 11.3502
Ge -1.7855 -0.7791 7.3809
Ge 4.5716 4.1121 7.0267
Ge -4.3429 -4.4510 9.3290
Au 0.2712 1.4578 3.2235
Au 3.2029 -0.8124 10.7523
Au -0.0424 -1.7967 13.1322
Au -2.9742 0.4736 5.6034
Au 2.9293 1.9166 7.0042
Au -2.7006 -2.2555 9.3515
Au 0.8745 -0.8303 6.9760
Au -0.6458 0.4915 9.3797
Au -0.8889 -3.1879 6.9519
Au 1.1176 2.8490 9.4038

Record 8
12
Lattice="6.0074 0.3284 0.0000 -0.0425 6.0162 0.0000 -2.9825 -3.1723 7.5001" Properties=species:S:1:pos:R:3 comment="Ce2Ge3Au (GGA-PBE, optimized geometry)" spacegroup="Fmmm, No. 69" ef_mev_per_atom=-652 pbc="T T T"
Ce 3.0037 0.1642 3.7501
Ce 4.5263 1.7209 0.0000
Ce -0.0212 3.0081 3.7501
Ce 1.4387 4.6237 0.0000
Ge 4.4751 4.7599 1.2379
Ge 1.4926 1.5876 6.2623
Ge -1.4926 -1.5876 6.2623
Ge 1.4899 1.5847 1.2379
Ge 0.0000 0.0000 2.4679
Ge 2.9825 3.1723 5.0322
Au 2.9825 3.1723 2.5039
Au 0.0000 0.0000 4.9963

Record 9
4
Lattice="-3.1752 0.7487 -3.9903 -2.2123 -4.0330 -2.3250 -4.6480 -0.8636 0.2079" Properties=species:S:1:pos:R:3 comment="CeGe2Au (GGA-PBE, optimized geometry)" spacegroup="R-3m, No. 166" ef_mev_per_atom=-340 pbc="T T T"
Ge -2.6159 -1.0283 -1.4401
Ge -7.4197 -3.1196 -4.6673
Au 0.0000 0.0000 0.0000
Ce -5.0178 -2.0740 -3.0537

Record 10
18
Lattice="-4.6770 -6.1813 -0.3242 5.9036 -4.3370 -2.4737 -1.1397 0.4087 8.6468" Properties=species:S:1:pos:R:3 comment="Ce5Ge2Au2 (GGA-PBE, optimized geometry)" spacegroup="Cmce, No. 64" ef_mev_per_atom=-609 pbc="T T T"
Ce 0.0000 0.0000 0.0000
Ce 0.6133 -5.2592 -1.3990
Ce 0.6500 -8.5480 0.0287
Ce 1.5483 -2.9141 1.1470
Ce 3.7778 -6.0372 -0.1400
Ce -1.5795 -5.4249 1.3156
Ce -0.5631 -1.5617 5.8202
Ce -1.4614 -7.1956 4.7019
Ce -3.6909 -4.0725 5.9888
Ce 1.6664 -4.6848 4.5333
Ge 2.2774 -7.6652 -2.3773
Ge -1.0508 -2.8532 -0.4206
Ge 3.0884 -3.4524 -1.5752
Ge -1.8619 -7.0660 -1.2228
Au 0.7728 -0.7505 3.1600
Au 1.3860 -6.0096 1.7610
Au 3.9911 -3.1779 3.0132
Au -1.2992 -4.1000 4.0879

Record 11
4
Lattice="-2.8097 -3.2345 0.9223 2.5388 1.6651 3.1613 -2.9696 2.8341 0.8926" Properties=species:S:1:pos:R:3 comment="CeGeHAu (GGA-PBE, optimized geometry)" spacegroup="P3m1, No. 156" dft_energy_ev_per_atom=-4.8668 pbc="T T T"
Ce -2.1151 -0.7770 1.2445
Ge -3.0674 0.8854 4.1733
H -0.4115 0.9319 2.0148
Au -1.7007 2.1623 2.4023

Record 12
7
Lattice="4.4147 0.0000 0.0000 2.2073 3.8232 0.0000 2.2073 1.2744 9.1560" Properties=species:S:1:pos:R:3 comment="Ce2HoGe2Au2 (GGA-PBE, optimized geometry)" spacegroup="R-3m, No. 166" ef_mev_per_atom=-598 pbc="T T T"
Ce 2.2073 1.2744 5.2787
Ce 6.6220 3.8232 3.8772
Ho 0.0000 0.0000 0.0000
Ge 6.6220 3.8232 7.1129
Ge 2.2073 1.2744 2.0431
Au 4.4147 2.5488 1.7851
Au 4.4147 2.5488 7.3709